No. 1
The following is a PBE-GGA calculation of SrScTlAg after structural relaxation, from the Alexandria database.

Geometry as CIF:
```
data_SrScTlAg
_space_group_name_H-M_alt 'F -4 3 m'
_space_group_IT_number 216
_space_group_name_Hall 'F -4 2 3'
_cell_length_a 7.525
_cell_length_b 7.525
_cell_length_c 7.525
_cell_angle_alpha 90.00
_cell_angle_beta 90.00
_cell_angle_gamma 90.00
loop_
_atom_site_label
_atom_site_type_symbol
_atom_site_fract_x
_atom_site_fract_y
_atom_site_fract_z
Sr1 Sr 0.000 0.000 0.000
Sc1 Sc 0.000 0.000 0.500
Tl1 Tl 0.250 0.250 0.750
Ag1 Ag 0.250 0.250 0.250
```

* final energy: -13.97 eV/f.u.
* volume: 26.63 Å³/atom
* calculated density: 6.9 Mg/m³
* energy relative to the elements: -0.74 eV per formula unit

---

No. 2
The following is a PBE-GGA calculation of Sc2TaAg2 after structural relaxation, from the Alexandria database.

Geometry as CIF:
```
data_Sc2TaAg2
_space_group_name_H-M_alt 'P 4/m b m'
_space_group_IT_number 127
_space_group_name_Hall '-P 4 2ab'
_cell_length_a 7.937
_cell_length_b 7.937
_cell_length_c 3.159
_cell_angle_alpha 90.00
_cell_angle_beta 90.00
_cell_angle_gamma 90.00
loop_
_atom_site_label
_atom_site_type_symbol
_atom_site_fract_x
_atom_site_fract_y
_atom_site_fract_z
Sc1 Sc 0.174 0.326 0.000
Ta1 Ta 0.000 0.000 0.500
Ag1 Ag 0.126 0.626 0.500
```

* final energy: -29.60 eV/f.u.
* volume: 19.90 Å³/atom
* calculated density: 8.1 Mg/m³
* energy relative to the elements: 0.62 eV per formula unit

---

No. 3
The following is a PBE-GGA calculation of ScTaAg2 after structural relaxation, from the Alexandria database.

Geometry as CIF:
```
data_ScTaAg2
_space_group_name_H-M_alt 'C m m m'
_space_group_IT_number 65
_space_group_name_Hall '-C 2 2'
_cell_length_a 5.855
_cell_length_b 8.506
_cell_length_c 2.978
_cell_angle_alpha 90.00
_cell_angle_beta 90.00
_cell_angle_gamma 90.00
loop_
_atom_site_label
_atom_site_type_symbol
_atom_site_fract_x
_atom_site_fract_y
_atom_site_fract_z
Sc1 Sc 0.000 0.000 0.000
Ta1 Ta 0.000 0.500 0.000
Ag1 Ag 0.250 0.250 0.500
```

* relative energy among the computed polymorphs: 151.8 meV per atom
* final energy: -23.16 eV/f.u.
* volume: 18.54 Å³/atom
* calculated density: 9.9 Mg/m³
* energy relative to the elements: 0.72 eV per formula unit

---

No. 4
The following is a PBE-GGA calculation of ScTaAg2 after structural relaxation, from the Alexandria database.

Geometry as CIF:
```
data_ScTaAg2
_space_group_name_H-M_alt 'R -3 m'
_space_group_IT_number 166
_space_group_name_Hall '-R 3 2"'
_cell_length_a 2.9603
_cell_length_b 2.9603
_cell_length_c 29.7933
_cell_angle_alpha 90.00
_cell_angle_beta 90.00
_cell_angle_gamma 120.00
loop_
_atom_site_label
_atom_site_type_symbol
_atom_site_fract_x
_atom_site_fract_y
_atom_site_fract_z
Sc1 Sc 0.0000 0.0000 0.0000
Ta1 Ta 0.0000 0.0000 0.5000
Ag1 Ag 0.0000 0.0000 0.2496
```

* relative energy among the computed polymorphs: 196.3 meV per atom
* final energy: -22.98 eV/f.u.
* volume: 18.84 Å³/atom
* calculated density: 9.7 Mg/m³
* energy relative to the elements: 0.90 eV per formula unit

---

No. 5
The following is a PBE-GGA calculation of ScTaAg2 after structural relaxation, from the Alexandria database.

Geometry as CIF:
```
data_ScTaAg2
_space_group_name_H-M_alt 'P 4/m m m'
_space_group_IT_number 123
_space_group_name_Hall '-P 4 2'
_cell_length_a 5.031
_cell_length_b 5.031
_cell_length_c 2.986
_cell_angle_alpha 90.00
_cell_angle_beta 90.00
_cell_angle_gamma 90.00
loop_
_atom_site_label
_atom_site_type_symbol
_atom_site_fract_x
_atom_site_fract_y
_atom_site_fract_z
Sc1 Sc 0.000 0.000 0.000
Ta1 Ta 0.500 0.500 0.000
Ag1 Ag 0.000 0.500 0.500
```

* relative energy among the computed polymorphs: 202.0 meV per atom
* final energy: -22.96 eV/f.u.
* volume: 18.89 Å³/atom
* calculated density: 9.7 Mg/m³
* energy relative to the elements: 0.93 eV per formula unit

---

No. 6
The following is a PBE-GGA calculation of ScTaAg2 after structural relaxation, from the Alexandria database.

Geometry as CIF:
```
data_ScTaAg2
_space_group_name_H-M_alt 'I -4 m 2'
_space_group_IT_number 119
_space_group_name_Hall 'I -4 -2'
_cell_length_a 4.110
_cell_length_b 4.110
_cell_length_c 8.868
_cell_angle_alpha 90.00
_cell_angle_beta 90.00
_cell_angle_gamma 90.00
loop_
_atom_site_label
_atom_site_type_symbol
_atom_site_fract_x
_atom_site_fract_y
_atom_site_fract_z
Sc1 Sc 0.000 0.000 0.000
Ta1 Ta 0.000 0.500 0.750
Ag1 Ag 0.000 0.000 0.500
Ag2 Ag 0.000 0.500 0.250
```

* relative energy among the computed polymorphs: 281.4 meV per atom
* final energy: -22.64 eV/f.u.
* volume: 18.73 Å³/atom
* calculated density: 9.8 Mg/m³
* energy relative to the elements: 1.24 eV per formula unit

---

No. 7
The following is a PBE-GGA calculation of ScTaAg4 after structural relaxation, from the Alexandria database.

Geometry as CIF:
```
data_ScTaAg4
_space_group_name_H-M_alt 'F -4 3 m'
_space_group_IT_number 216
_space_group_name_Hall 'F -4 2 3'
_cell_length_a 7.719
_cell_length_b 7.719
_cell_length_c 7.719
_cell_angle_alpha 90.00
_cell_angle_beta 90.00
_cell_angle_gamma 90.00
loop_
_atom_site_label
_atom_site_type_symbol
_atom_site_fract_x
_atom_site_fract_y
_atom_site_fract_z
Sc1 Sc 0.000 0.000 0.000
Ta1 Ta 0.250 0.250 0.750
Ag1 Ag 0.125 0.125 0.375
```

* final energy: -27.54 eV/f.u.
* volume: 19.16 Å³/atom
* calculated density: 9.5 Mg/m³
* energy relative to the elements: 2.05 eV per formula unit

---

No. 8
The following is a PBE-GGA calculation of ScTaAg2 after structural relaxation, from the Alexandria database.

Geometry as CIF:
```
data_ScTaAg2
_space_group_name_H-M_alt 'C 1 2/m 1'
_space_group_IT_number 12
_cell_length_a 10.124
_cell_length_b 2.902
_cell_length_c 5.212
_cell_angle_alpha 90.00
_cell_angle_beta 98.68
_cell_angle_gamma 90.00
loop_
_space_group_symop_operation_xyz
'x,y,z'
'-x,-y,-z'
'-x,y,-z'
'x,-y,z'
'x+1/2,y+1/2,z'
'-x+1/2,-y+1/2,-z'
'-x+1/2,y+1/2,-z'
'x+1/2,-y+1/2,z'
loop_
_atom_site_label
_atom_site_type_symbol
_atom_site_fract_x
_atom_site_fract_y
_atom_site_fract_z
Sc1 Sc 0.000 0.000 0.000
Ta1 Ta 0.000 0.500 0.500
Ag1 Ag 0.246 0.000 0.743
```

* relative energy among the computed polymorphs: 215.9 meV per atom
* final energy: -22.91 eV/f.u.
* volume: 18.92 Å³/atom
* calculated density: 9.7 Mg/m³
* energy relative to the elements: 0.98 eV per formula unit